A relaxed structure of Nd2Tm3Sc. Source: Alexandria via LeMat-Bulk, functional PBE.

```
Nd2Tm3Sc
1.0
8.755 -1.716 0.000
8.755 1.716 0.000
-6.485 0.000 12.471
Nd Tm Sc
4 6 2
direct
0.152 0.152 0.467 Nd
0.321 0.321 0.125 Nd
0.679 0.679 0.875 Nd
0.848 0.848 0.533 Nd
0.099 0.099 0.027 Tm
0.240 0.240 0.294 Tm
0.461 0.461 0.790 Tm
0.539 0.539 0.210 Tm
0.760 0.760 0.706 Tm
0.901 0.901 0.973 Tm
0.064 0.064 0.640 Sc
0.936 0.936 0.360 Sc
```

Calculated formation energy, meV/atom: 149
Total magnetic moment, μB per formula unit: 0.00
E_tot, eV/f.u.: -28.4
Polymorph energy (0 for the lowest one), eV/atom: 0.107
N(E_F), states/eV/atom: 1.66

***

A relaxed structure of Nd2Tm12Sc5. Source: Alexandria via LeMat-Bulk, functional PBE.

```
Nd2Tm12Sc5
1.0
5.880 -5.743 0.000
5.880 5.743 0.000
-2.532 0.000 8.433
Nd Tm Sc
2 12 5
direct
0.196 0.804 0.000 Nd
0.804 0.196 0.000 Nd
0.020 0.567 0.200 Tm
0.039 0.039 0.713 Tm
0.162 0.644 0.600 Tm
0.356 0.838 0.400 Tm
0.416 0.416 0.825 Tm
0.433 0.980 0.800 Tm
0.567 0.020 0.200 Tm
0.584 0.584 0.175 Tm
0.644 0.162 0.600 Tm
0.838 0.356 0.400 Tm
0.961 0.961 0.287 Tm
0.980 0.433 0.800 Tm
0.233 0.233 0.487 Sc
0.245 0.245 0.100 Sc
0.500 0.500 0.500 Sc
0.755 0.755 0.900 Sc
0.767 0.767 0.513 Sc
```

Calculated formation energy, meV/atom: 191
Total magnetic moment, μB per formula unit: 0.00
E_tot, eV/f.u.: -91.2
N(E_F), states/eV/atom: 1.59

***

A relaxed structure of Nd12TmSc6. Source: Alexandria via LeMat-Bulk, functional PBE.

```
Nd12TmSc6
1.0
7.256 4.189 3.411
-7.256 4.189 3.411
0.000 -8.378 3.411
Nd Tm Sc
12 1 6
direct
0.133 0.278 0.829 Nd
0.171 0.867 0.722 Nd
0.196 0.478 0.571 Nd
0.278 0.829 0.133 Nd
0.429 0.804 0.522 Nd
0.478 0.571 0.196 Nd
0.522 0.429 0.804 Nd
0.571 0.196 0.478 Nd
0.722 0.171 0.867 Nd
0.804 0.522 0.429 Nd
0.829 0.133 0.278 Nd
0.867 0.722 0.171 Nd
0.000 0.000 0.000 Tm
0.072 0.462 0.186 Sc
0.186 0.072 0.462 Sc
0.462 0.186 0.072 Sc
0.538 0.814 0.928 Sc
0.814 0.928 0.538 Sc
0.928 0.538 0.814 Sc
```

Calculated formation energy, meV/atom: 272
Total magnetic moment, μB per formula unit: 0.00
E_tot, eV/f.u.: -94.5
N(E_F), states/eV/atom: 1.51

***

A relaxed structure of Nd6TmSc2. Source: Alexandria via LeMat-Bulk, functional PBE.

```
Nd6TmSc2
1.0
4.604 -8.730 0.000
4.604 8.730 0.000
0.000 0.000 3.605
Nd Tm Sc
6 1 2
direct
0.011 0.344 0.000 Nd
0.183 0.183 0.500 Nd
0.344 0.011 0.000 Nd
0.656 0.989 0.000 Nd
0.817 0.817 0.500 Nd
0.989 0.656 0.000 Nd
0.500 0.500 0.000 Tm
0.325 0.675 0.500 Sc
0.675 0.325 0.500 Sc
```

Calculated formation energy, meV/atom: 163
Total magnetic moment, μB per formula unit: 0.00
E_tot, eV/f.u.: -44.3
Polymorph energy (0 for the lowest one), eV/atom: 0.031
N(E_F), states/eV/atom: 1.41

***

A relaxed structure of Nd5Tm6Sc2. Source: Alexandria via LeMat-Bulk, functional PBE.

```
Nd5Tm6Sc2
1.0
11.251 0.000 0.000
0.000 20.327 0.000
0.000 0.000 3.584
Nd Tm Sc
10 12 4
direct
0.000 0.000 0.000 Nd
0.064 0.424 0.000 Nd
0.148 0.723 0.000 Nd
0.352 0.223 0.000 Nd
0.436 0.924 0.000 Nd
0.500 0.500 0.000 Nd
0.564 0.076 0.000 Nd
0.648 0.777 0.000 Nd
0.852 0.277 0.000 Nd
0.936 0.576 0.000 Nd
0.080 0.155 0.000 Tm
0.167 0.883 0.500 Tm
0.223 0.556 0.500 Tm
0.277 0.056 0.500 Tm
0.333 0.383 0.500 Tm
0.420 0.655 0.000 Tm
0.580 0.345 0.000 Tm
0.667 0.617 0.500 Tm
0.723 0.944 0.500 Tm
0.777 0.444 0.500 Tm
0.833 0.117 0.500 Tm
0.920 0.845 0.000 Tm
0.111 0.286 0.500 Sc
0.389 0.786 0.500 Sc
0.611 0.214 0.500 Sc
0.889 0.714 0.500 Sc
```

Calculated formation energy, meV/atom: 60
Total magnetic moment, μB per formula unit: 0.00
E_tot, eV/f.u.: -62.6
N(E_F), states/eV/atom: 1.55

***

A relaxed structure of Nd2Tm15Sc2. Source: Alexandria via LeMat-Bulk, functional PBE.

```
Nd2Tm15Sc2
1.0
5.551 3.205 5.683
-5.551 3.205 5.683
0.000 -6.410 5.683
Nd Tm Sc
2 15 2
direct
0.173 0.173 0.173 Nd
0.827 0.827 0.827 Nd
0.000 0.500 0.500 Tm
0.139 0.139 0.645 Tm
0.139 0.645 0.139 Tm
0.205 0.500 0.795 Tm
0.205 0.795 0.500 Tm
0.355 0.861 0.861 Tm
0.500 0.000 0.500 Tm
0.500 0.205 0.795 Tm
0.500 0.500 0.000 Tm
0.500 0.795 0.205 Tm
0.645 0.139 0.139 Tm
0.795 0.205 0.500 Tm
0.795 0.500 0.205 Tm
0.861 0.355 0.861 Tm
0.861 0.861 0.355 Tm
0.407 0.407 0.407 Sc
0.593 0.593 0.593 Sc
```

Calculated formation energy, meV/atom: 283
Total magnetic moment, μB per formula unit: 3.15
E_tot, eV/f.u.: -83.9
N(E_F), states/eV/atom: 2.06